[1]
Here is a relaxed NdTm2Cd2In2 crystal from the Alexandria database. Energies are from PBE.

## Properties
Its energy of formation from the pure elements is -0.25 eV/atom. The value obtained for the density is 8259 kg/m3. The calculation puts the density of states at the Fermi level at 3.94 states/eV/f.u. For the calculated total energy, the calculation gives -22.80 eV per cell.

Geometry as POSCAR:
```
NdTm2Cd2In2
1.0
2.487 1.436 8.787
-2.487 1.436 8.787
0.000 -2.872 8.787
Nd Tm Cd In
1 2 2 2
direct
0.000 0.000 0.000
0.131 0.131 0.131
0.869 0.869 0.869
0.416 0.416 0.416
0.584 0.584 0.584
0.261 0.261 0.261
0.739 0.739 0.739
```


[2]
Here is a relaxed NdTmCdIn crystal from the Alexandria database. Energies are from PBE.

## Properties
Its energy of formation from the pure elements is -0.39 eV/atom. The value obtained for the density is 8243 kg/m3. The calculation puts the density of states at the Fermi level at 4.08 states/eV/f.u. For the calculated total energy, the calculation gives -14.46 eV per cell.

Geometry as POSCAR:
```
NdTmCdIn
1.0
0.000 3.790 3.790
3.790 0.000 3.790
3.790 3.790 0.000
Nd Tm Cd In
1 1 1 1
direct
0.000 0.000 0.000
0.500 0.500 0.500
0.750 0.750 0.750
0.250 0.250 0.250
```


[3]
Here is a relaxed NdZnCdIn crystal from the Alexandria database. Energies are from PBE.

## Properties
Its energy of formation from the pure elements is -0.27 eV/atom. The value obtained for the density is 7714 kg/m3. The calculation puts the density of states at the Fermi level at 2.47 states/eV/f.u. For the calculated total energy, the calculation gives -10.79 eV per cell.

Geometry as POSCAR:
```
NdZnCdIn
1.0
0.000 3.609 3.609
3.609 0.000 3.609
3.609 3.609 0.000
Nd Zn Cd In
1 1 1 1
direct
0.000 0.000 0.000
0.750 0.750 0.750
0.250 0.250 0.250
0.500 0.500 0.500
```


[4]
Here is a relaxed NdZrCdIn crystal from the Alexandria database. Energies are from PBE.

## Properties
Its energy of formation from the pure elements is -0.23 eV/atom. The value obtained for the density is 7618 kg/m3. The calculation puts the density of states at the Fermi level at 1.60 states/eV/f.u. For the calculated total energy, the calculation gives -17.88 eV per cell.

Geometry as POSCAR:
```
NdZrCdIn
1.0
0.000 3.695 3.695
3.695 0.000 3.695
3.695 3.695 0.000
Nd Zr Cd In
1 1 1 1
direct
0.000 0.000 0.000
0.500 0.500 0.500
0.250 0.250 0.250
0.750 0.750 0.750
```


[5]
Here is a relaxed Cd2InNi crystal from the Alexandria database. Energies are from PBE.

## Properties
Its energy of formation from the pure elements is 0.60 eV/atom. The value obtained for the density is 5371 kg/m3. The calculation puts the density of states at the Fermi level at 1.81 states/eV/f.u. For the calculated total energy, the calculation gives -15.89 eV per cell.

Geometry as POSCAR:
```
Cd2InNi
1.0
-3.166 3.166 6.141
3.166 -3.166 6.141
3.166 3.166 -6.141
Cd In Ni
4 2 2
direct
0.058 0.625 0.933
0.375 0.308 0.433
0.692 0.125 0.067
0.875 0.942 0.567
0.250 0.750 0.500
0.500 0.500 0.000
0.000 0.000 0.000
0.750 0.250 0.500
```


[6]
Here is a relaxed Cd2InNi crystal from the Alexandria database. Energies are from PBE.

## Properties
Its energy of formation from the pure elements is 0.13 eV/atom. The value obtained for the density is 8277 kg/m3. The calculation puts the density of states at the Fermi level at 1.97 states/eV/f.u. For the calculated total energy, the calculation gives -9.82 eV per cell.

Geometry as POSCAR:
```
Cd2InNi
1.0
3.342 0.000 0.000
0.000 4.393 0.000
-0.908 0.000 5.443
Cd In Ni
2 1 1
direct
0.130 0.000 0.273
0.870 0.000 0.727
0.500 0.500 0.000
0.500 0.500 0.500
```


[7]
Here is a relaxed Cd2InNi crystal from the Alexandria database. Energies are from PBE.

## Properties
Its energy of formation from the pure elements is 0.12 eV/atom. The value obtained for the density is 8742 kg/m3. The calculation puts the density of states at the Fermi level at 2.42 states/eV/f.u. For the calculated total energy, the calculation gives -9.86 eV per cell.

Geometry as POSCAR:
```
Cd2InNi
1.0
4.170 0.000 0.000
0.000 4.170 0.000
0.000 0.000 4.351
Cd In Ni
2 1 1
direct
0.000 0.500 0.000
0.500 0.000 0.000
0.000 0.000 0.500
0.500 0.500 0.500
```


[8]
Here is a relaxed Cd2InNi crystal from the Alexandria database. Energies are from PBE.

## Properties
Its energy of formation from the pure elements is 0.07 eV/atom. The value obtained for the density is 8236 kg/m3. The calculation puts the density of states at the Fermi level at 1.45 states/eV/f.u. For the calculated total energy, the calculation gives -10.08 eV per cell.

Geometry as POSCAR:
```
Cd2InNi
1.0
3.083 0.000 0.000
0.000 3.083 0.000
0.000 0.000 8.449
Cd In Ni
2 1 1
direct
0.000 0.000 0.195
0.000 0.000 0.805
0.500 0.500 0.500
0.500 0.500 0.000
```